Computed, not measured: CaAc2Sn4Ir3 after structural relaxation at the PBE-GGA level of DFT.

Computed properties:
VASP energy: -5.82 eV per atom
E_form: -0.54 eV/atom
V: 250.0 Å³ per cell
Fermi-level density of states: 5.971 states/eV/cell

a b c (Å): 4.6048 4.6048 11.7896
angles (deg): 90.00 90.00 90.00
Element x y z (fractional)
Ca (0.0000, 0.0000, 0.0000)
Ac (0.0000, 0.5000, 0.7317)
Ac (0.5000, 0.0000, 0.2683)
Sn (0.0000, 0.0000, 0.5000)
Sn (0.0000, 0.5000, 0.1547)
Sn (0.5000, 0.0000, 0.8453)
Sn (0.5000, 0.5000, 0.5000)
Ir (0.0000, 0.5000, 0.3787)
Ir (0.5000, 0.0000, 0.6213)
Ir (0.5000, 0.5000, 0.0000)